No. 1
First-principles (SCAN) data for CaTa2HgPd at its PBEsol-relaxed geometry, as listed in Alexandria via LeMat-Bulk. Values from VASP.

```
&SYSTEM
  ibrav = 0, nat = 5, ntyp = 4
/
ATOMIC_SPECIES
Ca 40.08 Ca.upf
Ta 180.95 Ta.upf
Hg 200.59 Hg.upf
Pd 106.42 Pd.upf
ATOMIC_POSITIONS angstrom
Ca 1.357 1.142 1.926
Ta -2.044 0.353 1.231
Ta 0.277 -2.142 1.075
Hg -0.410 -0.647 4.232
Pd 0.000 0.000 0.000
CELL_PARAMETERS angstrom
-4.089 0.706 2.463
0.555 -4.284 2.149
2.714 2.284 3.851
```

Computed properties:
theoretical density	9.66	g/cm³
DFT formation energy	0.96	eV per atom

No. 2
First-principles (SCAN) data for BiTeIr2Br at its PBEsol-relaxed geometry, as listed in Alexandria via LeMat-Bulk. Values from VASP.

```
&SYSTEM
  ibrav = 0, nat = 5, ntyp = 4
/
ATOMIC_SPECIES
Bi 208.98 Bi.upf
Ir 192.22 Ir.upf
Br 79.90 Br.upf
Te 127.60 Te.upf
ATOMIC_POSITIONS angstrom
Bi 0.000 0.000 0.000
Ir 0.000 2.504 0.000
Br 0.000 0.000 2.701
Te 2.504 2.504 2.701
Ir 2.504 0.000 0.000
CELL_PARAMETERS angstrom
5.007 0.000 0.000
0.000 5.007 0.000
0.000 0.000 5.401
```

Computed properties:
theoretical density	9.82	g/cm³
raw formation energy	1.730	eV per atom

No. 3
First-principles (SCAN) data for Cr2ReTe at its PBEsol-relaxed geometry, as listed in Alexandria via LeMat-Bulk. Values from VASP.

```
&SYSTEM
  ibrav = 0, nat = 4, ntyp = 3
/
ATOMIC_SPECIES
Te 127.60 Te.upf
Cr 52.00 Cr.upf
Re 186.21 Re.upf
ATOMIC_POSITIONS angstrom
Te 1.498 0.599 2.170
Cr 0.000 2.862 2.190
Cr 1.498 3.518 4.293
Re 1.498 2.431 0.093
CELL_PARAMETERS angstrom
2.997 0.000 0.000
0.000 4.446 -0.006
-1.498 -0.852 4.380
```

Computed properties:
theoretical density	11.89	g/cm³
raw formation energy	0.460	eV per atom

No. 4
First-principles (SCAN) data for CoAs at its PBEsol-relaxed geometry, as listed in Alexandria via LeMat-Bulk. Values from VASP.

```
&SYSTEM
  ibrav = 0, nat = 4, ntyp = 2
/
ATOMIC_SPECIES
As 74.92 As.upf
Co 58.93 Co.upf
ATOMIC_POSITIONS angstrom
As 0.772 -2.240 -0.175
Co -1.528 -1.918 0.323
As -1.895 -3.511 -1.400
Co 0.000 0.000 0.000
CELL_PARAMETERS angstrom
-0.743 0.013 -3.433
2.676 -1.927 1.211
-3.056 -3.837 0.647
```

Computed properties:
theoretical density	8.41	g/cm³
DFT formation energy	-0.23	eV per atom

No. 5
First-principles (SCAN) data for CdIrRu3 at its PBEsol-relaxed geometry, as listed in Alexandria via LeMat-Bulk. Values from VASP.

```
&SYSTEM
  ibrav = 0, nat = 5, ntyp = 3
/
ATOMIC_SPECIES
Ru 101.07 Ru.upf
Ir 192.22 Ir.upf
Cd 112.41 Cd.upf
ATOMIC_POSITIONS angstrom
Ru -0.191 2.301 -0.241
Ir -3.448 2.000 -0.524
Ru -1.473 -0.308 -1.768
Ru -1.784 0.007 1.485
Cd 0.000 0.000 0.000
CELL_PARAMETERS angstrom
-0.383 4.602 -0.483
-2.945 -0.616 -3.536
-3.569 0.015 2.970
```

Computed properties:
theoretical density	10.09	g/cm³
DFT formation energy	2.88	eV per atom

No. 6
First-principles (SCAN) data for BaAg2Te at its PBEsol-relaxed geometry, as listed in Alexandria via LeMat-Bulk. Values from VASP.

```
&SYSTEM
  ibrav = 0, nat = 4, ntyp = 3
/
ATOMIC_SPECIES
Te 127.60 Te.upf
Ag 107.87 Ag.upf
Ba 137.33 Ba.upf
ATOMIC_POSITIONS angstrom
Te 4.935 2.849 2.634
Ag 2.467 1.425 1.929
Ba 0.000 0.000 0.000
Ag 7.402 4.274 3.340
CELL_PARAMETERS angstrom
4.935 0.000 0.000
2.467 4.274 0.000
2.467 1.425 5.268
```

Computed properties:
theoretical density	7.18	g/cm³
raw formation energy	-0.388	eV per atom